Record 1
Here is an optimized crystal structure of Sr3Tl2In4 from Alexandria. Energies are from PBE.

a = 5.116 Å, b = 6.644 Å, c = 9.805 Å
α = 111.31°, β = 90.00°, γ = 112.65°
Fractional coordinates of all 9 atoms:
Sr 0.677 0.354 0.654
In 0.014 0.029 0.356
Tl 0.611 0.221 0.277
In 0.750 0.500 0.080
Sr 0.000 0.000 0.000
In 0.250 0.500 0.920
Sr 0.323 0.646 0.346
Tl 0.389 0.779 0.723
In 0.986 0.971 0.644

Results
- Space group: C2/m
- Total magnetization: 0.0000 μB/atom
- Energy relative to the elements: -0.38 eV/atom

Record 2
Here is an optimized crystal structure of SrTlIn2 from Alexandria. Energies are from PBE.

a = 4.890 Å, b = 4.886 Å, c = 4.966 Å
α = 90.00°, β = 90.00°, γ = 90.00°
Fractional coordinates of all 4 atoms:
In 0.500 0.500 0.000
In 0.000 0.000 0.000
Tl 0.000 0.500 0.500
Sr 0.500 0.000 0.500

Results
- Space group: P4/mmm
- Total magnetization: 0.0000 μB/atom
- Energy relative to the elements: -0.28 eV/atom

Record 3
Here is an optimized crystal structure of Sr3Tl2In from Alexandria. Energies are from PBE.

a = 4.115 Å, b = 4.115 Å, c = 12.139 Å
α = 90.00°, β = 90.00°, γ = 90.00°
Fractional coordinates of all 6 atoms:
Tl 0.500 0.500 0.169
Sr 0.000 0.000 0.335
Sr 0.000 0.000 0.665
Sr 0.000 0.000 0.000
Tl 0.500 0.500 0.831
In 0.500 0.500 0.500

Results
- Space group: P4/mmm
- Total magnetization: 0.0000 μB/atom
- Energy relative to the elements: -0.43 eV/atom

Record 4
Here is an optimized crystal structure of Sr2TlIn from Alexandria. Energies are from PBE.

a = 4.085 Å, b = 4.085 Å, c = 8.194 Å
α = 90.00°, β = 90.00°, γ = 90.00°
Fractional coordinates of all 4 atoms:
In 0.000 0.500 0.500
Sr 0.500 0.000 0.251
Sr 0.500 0.000 0.749
Tl 0.000 0.500 0.000

Results
- Space group: P4/mmm
- Total magnetization: 0.0000 μB/atom
- Energy relative to the elements: -0.43 eV/atom

Record 5
Here is an optimized crystal structure of Sr2Tl2In from Alexandria. Energies are from PBE.

a = 8.349 Å, b = 8.349 Å, c = 4.914 Å
α = 90.00°, β = 90.00°, γ = 90.00°
Fractional coordinates of all 10 atoms:
Tl 0.368 0.868 0.000
In 0.500 0.500 0.000
Tl 0.132 0.368 0.000
Sr 0.828 0.328 0.500
Sr 0.672 0.828 0.500
Sr 0.172 0.672 0.500
Tl 0.868 0.632 0.000
Tl 0.632 0.132 0.000
Sr 0.328 0.172 0.500
In 0.000 0.000 0.000

Results
- ΔE to the lowest computed polymorph: 34 kJ/mol of formula units
- Space group: P4/mbm
- Total magnetization: 0.0000 μB/atom
- Energy relative to the elements: -0.32 eV/atom

Record 6
Here is an optimized crystal structure of Sr8TlIn2 from Alexandria. Energies are from PBE.

a = 5.724 Å, b = 9.312 Å, c = 10.051 Å
α = 117.59°, β = 106.54°, γ = 90.00°
Fractional coordinates of all 11 atoms:
Tl 0.500 0.000 0.000
In 0.188 0.688 0.376
Sr 0.143 0.143 0.285
Sr 0.340 0.120 0.680
Sr 0.660 0.440 0.320
Sr 0.857 0.857 0.715
In 0.812 0.312 0.624
Sr 0.000 0.311 0.000
Sr 0.660 0.880 0.320
Sr 0.000 0.689 0.000
Sr 0.340 0.560 0.680

Results
- ΔE to the lowest computed polymorph: 74 kJ/mol of formula units
- Space group: Immm
- Total magnetization: 0.0031 μB/atom
- Energy relative to the elements: -0.21 eV/atom

Number 1: final energy -2.68 eV per atom. Number 2: final energy -2.66 eV per atom. Number 3: final energy -2.52 eV per atom. Number 4: final energy -2.55 eV per atom. Number 5: final energy -2.49 eV per atom. Number 6: final energy -2.15 eV per atom.